TcHg2Cl (PBE, optimized geometry); E = -2.93 eV per atom; energy relative to the elements, uncorrected = 0.27 eV per atom
1.0
-0.861 0.071 3.003
2.048 -2.064 -1.146
8.222 6.943 2.193
Cl Hg Tc
1 2 1
Direct
0.500 0.500 0.677 Cl
0.000 0.000 0.018 Hg
0.500 0.500 0.291 Hg
0.000 0.000 0.513 Tc


Sb2TeOsPb (PBE, optimized geometry); E = -3.25 eV per atom; energy relative to the elements, uncorrected = 2.02 eV per atom
1.0
-2.220 -5.223 -0.925
2.379 -1.877 4.888
-4.686 1.487 2.851
Pb Sb Te Os
1 2 1 1
Direct
0.000 0.000 0.000 Pb
0.000 0.500 0.000 Sb
0.500 0.000 0.000 Sb
0.000 0.000 0.500 Te
0.500 0.500 0.500 Os


LiCeH2 (PBE, optimized geometry); E = -3.92 eV per atom
1.0
3.193 0.000 0.000
1.597 2.765 0.000
1.597 0.922 5.625
H Ce Li
2 1 1
Direct
0.764 0.764 0.708 H
0.236 0.236 0.292 H
0.000 0.000 0.000 Ce
0.500 0.500 0.500 Li


SbRuCl2 (PBE, optimized geometry); E = -3.64 eV per atom; energy relative to the elements, uncorrected = 0.63 eV per atom
1.0
6.692 0.000 0.000
0.000 6.692 0.000
3.346 3.346 4.833
Sb Cl Ru
2 4 2
Direct
0.000 0.000 0.000 Sb
0.750 0.250 0.500 Sb
0.517 0.125 0.250 Cl
0.233 0.625 0.250 Cl
0.375 0.483 0.750 Cl
0.875 0.767 0.750 Cl
0.500 0.500 0.000 Ru
0.250 0.750 0.500 Ru